No. 1
DFT (PBE) results for an optimized crystal structure of LaPrCd4Ni2.

Calculated values
Formation enthalpy at 0 K ... -0.344 eV per atom
Total magnetic moment ... 0.00 μB per cell
Space group ... No. 38

Geometry as extended XYZ:
```
8
Lattice="-1.8779 5.3694 5.9145 2.7381 -2.9667 3.5627 5.1226 -0.0348 1.6581" Properties=species:S:1:pos:R:3 pbc="T T T"
Cd 5.1916 1.7470 9.1889
Cd 0.5978 1.1737 2.5551
Cd 6.3244 -1.4919 5.6213
Ni 4.7465 0.5138 6.7333
Cd -0.1484 3.3071 4.9051
Ni 2.1743 -0.8302 1.4441
La 2.5171 1.3651 5.2526
Pr 4.4057 -1.6822 2.9261
```



No. 2
DFT (PBE) results for an optimized crystal structure of La2Zn3CdNi2.

Calculated values
Formation enthalpy at 0 K ... -0.393 eV per atom
Total magnetic moment ... 0.00 μB per cell
Space group ... No. 8

Geometry as extended XYZ:
```
8
Lattice="-4.0945 -3.3157 -0.4739 -0.5702 -4.9406 -1.8026 1.4320 -2.7494 7.1606" Properties=species:S:1:pos:R:3 pbc="T T T"
Ni -3.0291 -6.6099 0.0487
La -1.7067 -4.2927 0.7227
La -1.5085 -6.6919 4.1823
Cd -0.0516 -2.4777 2.8930
Zn -2.5757 -9.5572 4.8557
Zn -0.6660 -1.4441 -0.0006
Zn -3.1478 -8.5014 2.0471
Ni -0.2456 -4.4478 4.7879
```



No. 3
DFT (PBE) results for an optimized crystal structure of La2Cd2O5.

Calculated values
Total magnetic moment ... 0.00 μB per cell
E_tot ... -112.8 eV/cell
Space group ... No. 84

Geometry as extended XYZ:
```
18
Lattice="6.8119 0.0000 0.0000 0.0000 6.8119 0.0000 0.0000 0.0000 5.9604" Properties=species:S:1:pos:R:3 pbc="T T T"
O 2.5692 5.5542 1.4291
O 0.0000 0.0000 4.4703
O 0.0000 0.0000 1.4901
Cd 3.9949 4.9295 2.9802
Cd 2.8170 1.8824 2.9802
O 5.5542 4.2427 4.4093
La 0.6463 5.0686 2.9802
O 1.2577 2.5692 4.4093
O 4.2427 1.2577 1.4291
La 5.0686 6.1656 0.0000
O 4.2427 1.2577 4.5312
O 5.5542 4.2427 1.5510
La 6.1656 1.7433 2.9802
O 2.5692 5.5542 4.5312
Cd 4.9295 2.8170 0.0000
O 1.2577 2.5692 1.5510
Cd 1.8824 3.9949 0.0000
La 1.7433 0.6463 0.0000
```



No. 4
DFT (PBE) results for an optimized crystal structure of La2Cd2O5.

Calculated values
Total magnetic moment ... 0.00 μB per cell
E_tot ... -53.6 eV/cell
Space group ... No. 123

Geometry as extended XYZ:
```
9
Lattice="-7.2165 -1.3644 -0.7202 0.8866 -3.8916 -1.5109 -0.1004 -1.5640 3.9695" Properties=species:S:1:pos:R:3 pbc="T T T"
La -3.6082 -0.6822 -0.3601
Cd -1.1127 -3.0125 1.0790
O -5.2897 -3.0297 -1.3276
O -3.2152 -3.4100 0.8692
O -5.7832 -1.8659 1.4126
La 0.0000 0.0000 0.0000
Cd -5.3177 -3.8075 0.6594
O -1.0402 -2.2263 -0.9035
O -1.5337 -1.0625 1.8367
```



No. 5
DFT (PBE) results for an optimized crystal structure of La2Cd2O5.

Calculated values
Total magnetic moment ... 0.85 μB per cell
E_tot ... -52.7 eV/cell
Space group ... No. 123

Geometry as extended XYZ:
```
9
Lattice="-3.2173 8.5226 -0.0357 -0.0193 0.0104 4.2213 3.9493 1.4909 0.0144" Properties=species:S:1:pos:R:3 pbc="T T T"
Cd -1.6086 4.2613 -0.0179
O -2.7585 7.2869 2.0801
La 1.1908 2.8014 2.1092
O -0.7742 8.0271 -0.0233
O 0.3564 5.0120 2.1000
O 1.5062 1.9864 0.0020
La -0.4781 7.2226 2.0907
O -0.4781 1.2462 2.1054
Cd 0.0000 0.0000 0.0000
```



No. 6
DFT (PBE) results for an optimized crystal structure of LaCd3Os4O12.

Calculated values
Total magnetic moment ... 3.92 μB per cell
E_tot ... -133.7 eV/cell
Space group ... No. 204

Geometry as extended XYZ:
```
20
Lattice="-3.8919 3.8919 3.8919 3.8919 -3.8919 3.8919 3.8919 3.8919 -3.8919" Properties=species:S:1:pos:R:3 pbc="T T T"
Os 1.9459 -1.9459 1.9459
O 3.8919 2.4043 -1.6564
O 2.4043 -1.6564 3.8919
O 5.5483 0.0000 1.4876
Cd 0.0000 0.0000 3.8919
Cd 3.8919 0.0000 0.0000
Os 1.9459 1.9459 -1.9459
O 1.4876 5.5483 0.0000
La 0.0000 0.0000 0.0000
O 3.8919 2.4043 1.6564
O 2.4043 1.6564 3.8919
O 1.4876 2.2355 0.0000
Os 1.9459 1.9459 1.9459
Cd 0.0000 3.8919 0.0000
O 1.6564 3.8919 2.4043
O 2.2355 0.0000 1.4876
Os -1.9459 1.9459 1.9459
O 0.0000 1.4876 5.5483
O 0.0000 1.4876 2.2355
O -1.6564 3.8919 2.4043
```